VASP calculation (PBE) on a geometry-optimized DyCdGe2Pd5 structure.

```
DyCdGe2Pd5
1.0
-2.015 1.593 3.368
-1.819 -3.762 0.691
6.897 -2.370 5.248
Dy Cd Ge Pd
1 1 2 5
Cartesian
3.448 -1.185 2.624
0.000 0.000 0.000
-0.995 -1.402 2.731
4.057 -3.138 6.575
0.969 -2.527 1.775
0.871 0.151 3.113
4.109 -3.605 4.164
4.010 -0.928 5.502
1.531 -2.270 4.653
```

Calculated values
The value obtained for the formation energy is -54.5 kJ per mole of atoms. As for the density of states at the Fermi level: 4.71 states/eV/cell. The symmetry is No. 123.

---

VASP calculation (PBE) on a geometry-optimized PrDyCdGe structure.

```
PrDyCdGe
1.0
5.248 0.000 0.000
2.624 4.545 0.000
2.624 1.515 4.285
Pr Ge Cd Dy
1 1 1 1
Cartesian
0.000 0.000 0.000
7.871 4.545 3.213
2.624 1.515 1.071
5.248 3.030 2.142
```

Calculated values
The value obtained for the formation energy is -45.4 kJ per mole of atoms. As for the density of states at the Fermi level: 3.24 states/eV/cell. The symmetry is No. 216.

---

VASP calculation (PBE) on a geometry-optimized DyCdGe2Pt5 structure.

```
DyCdGe2Pt5
1.0
4.198 0.000 0.000
0.000 4.198 0.000
0.000 0.000 8.996
Dy Cd Ge Pt
1 1 2 5
Cartesian
0.000 0.000 0.000
0.000 0.000 4.498
2.099 2.099 1.210
2.099 2.099 7.786
0.000 2.099 2.484
2.099 0.000 2.484
0.000 2.099 6.512
2.099 0.000 6.512
2.099 2.099 4.498
```

Calculated values
The value obtained for the formation energy is -59.5 kJ per mole of atoms. As for the density of states at the Fermi level: 5.69 states/eV/cell. The symmetry is No. 123.